# 1
SiAgRu2 after structural relaxation. Source: Alexandria via LeMat-Bulk, functional PBE.

For the electronic total energy, the calculation gives -6.56 eV/atom. For the density of states at the Fermi level, the calculation gives 2.68 states/eV per cell. The value obtained for the formation energy from raw total energies is 147 meV per atom.

It has space group P4mm (No. 99), with a = 2.797 Å, b = 2.797 Å, c = 7.548 Å, α = 90.00°, β = 90.00° and γ = 90.00°. The distinct sites, in fractional coordinates, are Si at (0.000, 0.000, 0.000), Ag at (0.500, 0.500, 0.272), Ru at (0.000, 0.000, 0.558) and Ru at (0.500, 0.500, 0.790).

=====

# 2
SiAgRu2 after structural relaxation. Source: Alexandria via LeMat-Bulk, functional PBE.

For the electronic total energy, the calculation gives -6.35 eV/atom. For the density of states at the Fermi level, the calculation gives 16.29 states/eV per cell. The value obtained for the formation energy from raw total energies is 352 meV per atom.

It has space group F-43m (No. 216), with a = 6.159 Å, b = 6.159 Å, c = 6.159 Å, α = 90.00°, β = 90.00° and γ = 90.00°. The distinct sites, in fractional coordinates, are Si at (0.000, 0.000, 0.000), Ag at (0.250, 0.250, 0.250), Ru at (0.000, 0.000, 0.500) and Ru at (0.250, 0.250, 0.750).

=====

# 3
Si4AgRu after structural relaxation. Source: Alexandria via LeMat-Bulk, functional PBE.

For the electronic total energy, the calculation gives -5.14 eV/atom. For the density of states at the Fermi level, the calculation gives 13.53 states/eV per cell. The value obtained for the formation energy from raw total energies is 494 meV per atom.

It has space group F-43m (No. 216), with a = 7.074 Å, b = 7.074 Å, c = 7.074 Å, α = 90.00°, β = 90.00° and γ = 90.00°. The distinct sites, in fractional coordinates, are Si at (0.124, 0.124, 0.376), Ag at (0.000, 0.000, 0.000) and Ru at (0.250, 0.250, 0.750).

=====

# 4
SiAgRu2 after structural relaxation. Source: Alexandria via LeMat-Bulk, functional PBE.

For the electronic total energy, the calculation gives -6.53 eV/atom. For the density of states at the Fermi level, the calculation gives 8.77 states/eV per cell. The value obtained for the formation energy from raw total energies is 181 meV per atom.

It has space group Imm2 (No. 44), with a = 2.942 Å, b = 4.361 Å, c = 8.993 Å, α = 90.00°, β = 90.00° and γ = 90.00°. The distinct sites, in fractional coordinates, are Si at (0.000, 0.000, 0.000), Ag at (0.000, 0.500, 0.737), Ru at (0.000, 0.000, 0.525) and Ru at (0.000, 0.500, 0.289).

=====

Repeat the fourth record exactly.
SiAgRu2 after structural relaxation. Source: Alexandria via LeMat-Bulk, functional PBE.

For the electronic total energy, the calculation gives -6.53 eV/atom. For the density of states at the Fermi level, the calculation gives 8.77 states/eV per cell. The value obtained for the formation energy from raw total energies is 181 meV per atom.

It has space group Imm2 (No. 44), with a = 2.942 Å, b = 4.361 Å, c = 8.993 Å, α = 90.00°, β = 90.00° and γ = 90.00°. The distinct sites, in fractional coordinates, are Si at (0.000, 0.000, 0.000), Ag at (0.000, 0.500, 0.737), Ru at (0.000, 0.000, 0.525) and Ru at (0.000, 0.500, 0.289).

=====

Repeat the third record exactly.
Si4AgRu after structural relaxation. Source: Alexandria via LeMat-Bulk, functional PBE.

For the electronic total energy, the calculation gives -5.14 eV/atom. For the density of states at the Fermi level, the calculation gives 13.53 states/eV per cell. The value obtained for the formation energy from raw total energies is 494 meV per atom.

It has space group F-43m (No. 216), with a = 7.074 Å, b = 7.074 Å, c = 7.074 Å, α = 90.00°, β = 90.00° and γ = 90.00°. The distinct sites, in fractional coordinates, are Si at (0.124, 0.124, 0.376), Ag at (0.000, 0.000, 0.000) and Ru at (0.250, 0.250, 0.750).

=====

Number 2 is which compound?
SiAgRu2